No. 1
The following is a DFT calculation (PBE) of a relaxed Rb3Pm3TmSe8 crystal.

The structure in CIF format:
```
data_Rb3Pm3TmSe8
_chemical_formula_sum 'Rb6 Pm6 Tm2 Se16'
_space_group_name_H-M_alt 'C 1 2/m 1'
_space_group_IT_number 12
_space_group_name_Hall '-C 2y'
_cell_length_a 14.763
_cell_length_b 8.514
_cell_length_c 9.559
_cell_angle_alpha 90.00
_cell_angle_beta 121.04
_cell_angle_gamma 90.00
loop_
_atom_site_label
_atom_site_fract_x
_atom_site_fract_y
_atom_site_fract_z
Rb1 0.000 0.000 0.000
Rb2 0.250 0.250 0.000
Pm1 0.000 0.500 0.500
Pm2 0.250 0.250 0.500
Tm1 0.000 0.000 0.500
Se1 0.016 0.243 0.307
Se2 0.226 0.000 0.693
Se3 0.234 0.500 0.700
```

Output
Raw total energy ... -148.67 eV for the cell shown
Crystal system ... monoclinic

---

No. 2
The following is a DFT calculation (PBE) of a relaxed Rb2PmTmSe4 crystal.

The structure in CIF format:
```
data_Rb2PmTmSe4
_chemical_formula_sum 'Rb2 Pm1 Tm1 Se4'
_space_group_name_H-M_alt 'P 1 2/m 1'
_space_group_IT_number 10
_space_group_name_Hall '-P 2y'
_cell_length_a 7.400
_cell_length_b 4.271
_cell_length_c 8.372
_cell_angle_alpha 90.00
_cell_angle_beta 107.11
_cell_angle_gamma 90.00
loop_
_atom_site_label
_atom_site_fract_x
_atom_site_fract_y
_atom_site_fract_z
Rb1 0.000 0.000 0.000
Rb2 0.500 0.500 0.000
Pm1 0.000 0.500 0.500
Tm1 0.500 0.000 0.500
Se1 0.241 0.000 0.698
Se2 0.277 0.500 0.305
```

Output
Raw total energy ... -38.91 eV for the cell shown
Crystal system ... monoclinic